An optimized crystal structure of BeCdP2. Source: the Alexandria database, functional PBE.

Properties
space group: P4/mmm (123)
DOS(E_F): 1.212 states/eV/cell
E above lowest polymorph: 209 meV per atom
mass density: 4.2 g/cm³

Cell: 3.053 3.053 7.802 Å, 90.00 90.00 90.00°
Fractional positions:
Be1 0.000 0.000 0.000
Cd1 0.000 0.000 0.500
P1 0.500 0.500 0.138
P2 0.500 0.500 0.862


An optimized crystal structure of AgAsOs2Rh. Source: the Alexandria database, functional PBE.

Properties
space group: P4/mmm (123)
DOS(E_F): 6.005 states/eV/cell
calculated total energy: -5.91 eV/atom
mass density: 11.6 g/cm³

Cell: 4.505 4.505 4.692 Å, 90.00 90.00 90.00°
Fractional positions:
Ag1 0.000 0.000 0.000
As1 0.000 0.000 0.500
Os1 0.000 0.500 0.500
Os2 0.500 0.000 0.500
Rh1 0.500 0.500 0.000


- What is the formula in the first record?
  BeCdP2


- Among the records above, which one has the highest mass density?
  AgAsOs2Rh